Entry from Alexandria: a relaxed Tb2IrI crystal (PBE). Values from VASP.

Summary:
Formation energy (no corrections) in eV/atom: -0.7242
ΔE to the lowest computed polymorph in eV/f.u.: 1.04

Cell and atoms, written as Quantum ESPRESSO input:
```
&SYSTEM
  ibrav = 0, nat = 4, ntyp = 3
/
ATOMIC_SPECIES
Tb 158.93 Tb.upf
Ir 192.22 Ir.upf
I 126.90 I.upf
CELL_PARAMETERS angstrom
3.523 0.000 0.000
0.000 3.523 0.000
0.000 0.000 8.371
ATOMIC_POSITIONS crystal
Tb 0.000 0.000 0.198
Tb 0.000 0.000 0.802
Ir 0.500 0.500 0.000
I 0.500 0.500 0.500
```